# 1
This record from Alexandria describes an optimized crystal structure of CaCu2Ni. The functional is GGA-PBE.

Calculated values
SG: I-42d
Size of the total moment, μB/cell: 0.0
E above lowest polymorph, meV per atom: 309
Energy of formation, eV/atom: 0.170

Cell lengths 8.7896, 8.7896, 8.7896 Å; angles 150.75, 150.75, 41.84 degrees
Last column: nearest neighbours and their distance in Å.
Element x y z (fractional)
Ca1 0.0000 0.0000 0.0000  8 Cu 3.06-3.39, 4 Ni 3.14
Ca2 0.7500 0.2500 0.5000  8 Cu 3.06-3.39, 4 Ni 3.14
Cu1 0.3216 0.6250 0.1966  2 Cu 2.27, 2 Ni 2.35
Cu2 0.3750 0.5716 0.6966  2 Cu 2.27, 2 Ni 2.35
Cu3 0.4284 0.1250 0.8034  2 Cu 2.27, 2 Ni 2.35
Cu4 0.8750 0.6784 0.3034  2 Cu 2.27, 2 Ni 2.35
Ni1 0.2500 0.7500 0.5000  4 Cu 2.35
Ni2 0.5000 0.5000 0.0000  4 Cu 2.35



# 2
This record from Alexandria describes an optimized crystal structure of ZnCrMo2. The functional is GGA-PBE.

Calculated values
SG: Cm
Size of the total moment, μB/cell: 0.0
Energy of formation, eV/atom: 0.298

Cell lengths 4.7298, 4.7298, 4.9507 Å; angles 94.68, 94.68, 31.82 degrees
Last column: nearest neighbours and their distance in Å.
Element x y z (fractional)
Zn1 0.0000 0.0000 0.0000  2 Zn 2.59, 7 Mo 2.70-2.84, 3 Cr 2.73-2.74
Cr1 0.2586 0.2586 0.7590  2 Cr 2.59, 7 Mo 2.63-2.85, 3 Zn 2.73-2.74
Mo1 0.5034 0.5034 0.5111  5 Mo 2.59-2.89, 3 Cr 2.63-2.84, 4 Zn 2.75-2.84
Mo2 0.7462 0.7462 0.2451  5 Mo 2.59-2.89, 3 Zn 2.70-2.78, 4 Cr 2.74-2.85



# 3
This record from Alexandria describes an optimized crystal structure of RbSn2Hg2. The functional is GGA-PBE.

Calculated values
SG: P-1
Size of the total moment, μB/cell: 0.0
E above lowest polymorph, meV per atom: 34
Energy of formation, eV/atom: -0.112

Cell lengths 7.3482, 7.5306, 7.9751 Å; angles 102.92, 115.88, 103.76 degrees
Last column: nearest neighbours and their distance in Å.
Element x y z (fractional)
Rb1 0.1634 0.2723 0.4339  5 Hg 3.75-4.03, 4 Sn 3.88-4.11
Rb2 0.8366 0.7277 0.5661  5 Hg 3.75-4.03, 4 Sn 3.88-4.11
Sn1 0.1958 0.5461 0.9590  3 Hg 2.83-3.15, 1 Sn 3.11
Sn2 0.4795 0.0186 0.7847  4 Hg 2.87-3.15, 1 Sn 3.11
Sn3 0.5205 0.9814 0.2153  4 Hg 2.87-3.15, 1 Sn 3.11
Sn4 0.8042 0.4539 0.0410  3 Hg 2.83-3.15, 1 Sn 3.11
Hg1 0.2255 0.7785 0.3575  4 Sn 2.91-3.15
Hg2 0.3578 0.2590 0.0693  3 Sn 2.83-3.15
Hg3 0.6422 0.7410 0.9307  3 Sn 2.83-3.15
Hg4 0.7745 0.2215 0.6425  4 Sn 2.91-3.15



# 4
This record from Alexandria describes an optimized crystal structure of Er2CuNi3As4. The functional is GGA-PBE.

Calculated values
SG: P-4m2
Size of the total moment, μB/cell: 0.0
Energy of formation, eV/atom: -0.708

Cell lengths 4.1144, 4.1144, 9.6476 Å; angles 90.00, 90.00, 90.00 degrees
Last column: nearest neighbours and their distance in Å.
Element x y z (fractional)
Er1 0.0000 0.5000 0.2490  8 As 3.11-3.18, 6 Ni 3.16, 2 Cu 3.16
Er2 0.5000 0.0000 0.7510  8 As 3.11-3.18, 6 Ni 3.16, 2 Cu 3.16
Cu1 0.5000 0.5000 0.0000  4 As 2.44
Ni1 0.0000 0.0000 0.0000  4 As 2.44
Ni2 0.0000 0.5000 0.6238  5 As 2.31-2.38
Ni3 0.5000 0.0000 0.3762  5 As 2.31-2.38
As1 0.0000 0.0000 0.5000  4 Ni 2.38
As2 0.0000 0.5000 0.8635  3 Ni 2.31-2.44, 2 Cu 2.44
As3 0.5000 0.0000 0.1365  3 Ni 2.31-2.44, 2 Cu 2.44
As4 0.5000 0.5000 0.5000  4 Ni 2.38



# 5
This record from Alexandria describes an optimized crystal structure of CdFe2Tc. The functional is GGA-PBE.

Calculated values
SG: P4/mmm
Size of the total moment, μB/cell: 5.7
Energy of formation, eV/atom: 0.432

Cell lengths 4.4511, 4.4511, 2.9419 Å; angles 90.00, 90.00, 90.00 degrees
Last column: nearest neighbours and their distance in Å.
Element x y z (fractional)
Cd1 0.0000 0.0000 0.0000  8 Fe 2.67, 2 Cd 2.94
Fe1 0.0000 0.5000 0.5000  4 Cd 2.67, 4 Tc 2.67, 2 Fe 2.94
Fe2 0.5000 0.0000 0.5000  4 Cd 2.67, 4 Tc 2.67, 2 Fe 2.94
Tc1 0.5000 0.5000 0.0000  8 Fe 2.67, 2 Tc 2.94



# 6
This record from Alexandria describes an optimized crystal structure of CaOsPt. The functional is GGA-PBE.

Calculated values
SG: P3m1
Size of the total moment, μB/cell: 0.0
E above lowest polymorph, meV per atom: 338
Energy of formation, eV/atom: 0.418

Cell lengths 2.9086, 2.9086, 7.1791 Å; angles 90.00, 90.00, 120.00 degrees
Last column: nearest neighbours and their distance in Å.
Element x y z (fractional)
Ca1 0.0000 0.0000 0.0000  6 Ca 2.91, 3 Pt 2.99, 3 Os 3.01
Os1 0.6667 0.3333 0.3482  3 Pt 2.77, 6 Os 2.91, 3 Ca 3.01
Pt1 0.3333 0.6667 0.6554  3 Os 2.77, 6 Pt 2.91, 3 Ca 2.99



# 7
This record from Alexandria describes an optimized crystal structure of SiTc2Ir. The functional is GGA-PBE.

Calculated values
SG: P4/mmm
Size of the total moment, μB/cell: 0.0
Uncorrected formation energy, eV/f.u.: -0.1

Cell lengths 3.6606, 3.6606, 4.2247 Å; angles 90.00, 90.00, 90.00 degrees
Last column: nearest neighbours and their distance in Å.
Element x y z (fractional)
Si1 0.0000 0.0000 0.0000  4 Ir 2.59, 8 Tc 2.80
Tc1 0.0000 0.5000 0.5000  4 Tc 2.59, 4 Ir 2.80, 4 Si 2.80
Tc2 0.5000 0.0000 0.5000  4 Tc 2.59, 4 Ir 2.80, 4 Si 2.80
Ir1 0.5000 0.5000 0.0000  4 Si 2.59, 8 Tc 2.80



# 8
This record from Alexandria describes an optimized crystal structure of CaYZnGe. The functional is GGA-PBE.

Calculated values
SG: F-43m
Size of the total moment, μB/cell: 0.0
Energy of formation, eV/atom: -0.467

Cell lengths 5.0839, 5.0839, 5.0839 Å; angles 60.00, 60.00, 60.00 degrees
Last column: nearest neighbours and their distance in Å.
Element x y z (fractional)
Ca1 0.0000 0.0000 0.0000  4 Zn 3.11, 4 Ge 3.11
Y1 0.5000 0.5000 0.5000  4 Zn 3.11, 4 Ge 3.11
Zn1 0.7500 0.7500 0.7500  4 Ca 3.11, 4 Y 3.11
Ge1 0.2500 0.2500 0.2500  4 Ca 3.11, 4 Y 3.11



# 9
This record from Alexandria describes an optimized crystal structure of CrOs2Rh. The functional is GGA-PBE.

Calculated values
SG: I-42d
Size of the total moment, μB/cell: 4.3
E above lowest polymorph, meV per atom: 641
Energy of formation, eV/atom: 0.677

Cell lengths 9.2906, 9.2906, 9.2906 Å; angles 156.91, 156.91, 32.88 degrees
Last column: nearest neighbours and their distance in Å.
Element x y z (fractional)
Cr1 0.0000 0.0000 0.0000  4 Os 2.56, 4 Rh 2.63
Cr2 0.7500 0.2500 0.5000  4 Os 2.56, 4 Rh 2.63
Os1 0.1010 0.6250 0.9760  4 Os 2.51-2.76, 2 Cr 2.56, 2 Rh 2.62
Os2 0.3750 0.3510 0.4760  4 Os 2.51-2.76, 2 Cr 2.56, 2 Rh 2.62
Os3 0.6490 0.1250 0.0240  4 Os 2.51-2.76, 2 Cr 2.56, 2 Rh 2.62
Os4 0.8750 0.8990 0.5240  4 Os 2.51-2.76, 2 Cr 2.56, 2 Rh 2.62
Rh1 0.2500 0.7500 0.5000  4 Os 2.62, 4 Cr 2.63
Rh2 0.5000 0.5000 0.0000  4 Os 2.62, 4 Cr 2.63



# 10
This record from Alexandria describes an optimized crystal structure of Sm3Y2Tm. The functional is GGA-PBE.

Calculated values
SG: P-1
Size of the total moment, μB/cell: 0.0
Energy of formation, eV/atom: 0.006

Cell lengths 7.2261, 7.2265, 8.9162 Å; angles 78.18, 78.23, 60.13 degrees
Last column: nearest neighbours and their distance in Å.
Element x y z (fractional)
Sm1 0.1391 0.1379 0.1661  6 Y 3.56-3.62, 5 Sm 3.56-3.62, 1 Tm 3.58
Sm2 0.2495 0.7499 0.4997  3 Y 3.55-3.56, 5 Sm 3.56-3.62, 4 Tm 3.61-3.62
Sm3 0.3609 0.8621 0.8316  2 Tm 3.54-3.56, 4 Sm 3.56-3.62, 6 Y 3.58-3.62
Sm4 0.6391 0.1379 0.1684  2 Tm 3.54-3.56, 4 Sm 3.56-3.62, 6 Y 3.58-3.62
Sm5 0.7505 0.2501 0.5003  3 Y 3.55-3.56, 5 Sm 3.56-3.62, 4 Tm 3.61-3.62
Sm6 0.8609 0.8621 0.8339  6 Y 3.56-3.62, 5 Sm 3.56-3.62, 1 Tm 3.58
Y1 0.1383 0.6370 0.1690  2 Tm 3.54, 7 Sm 3.55-3.62, 3 Y 3.57-3.62
Y2 0.3611 0.3621 0.8336  8 Sm 3.56-3.62, 1 Tm 3.57, 3 Y 3.57-3.62
Y3 0.6389 0.6379 0.1664  8 Sm 3.56-3.62, 1 Tm 3.57, 3 Y 3.57-3.62
Y4 0.8617 0.3630 0.8310  2 Tm 3.54, 7 Sm 3.55-3.62, 3 Y 3.57-3.62
Tm1 0.2498 0.2502 0.5004  3 Y 3.54-3.57, 7 Sm 3.54-3.62, 2 Tm 3.62
Tm2 0.7502 0.7498 0.4996  3 Y 3.54-3.57, 7 Sm 3.54-3.62, 2 Tm 3.62



# 11
This record from Alexandria describes an optimized crystal structure of BeZn. The functional is GGA-PBE.

Calculated values
SG: Cmmm
Size of the total moment, μB/cell: 0.0
Energy of formation, eV/atom: 0.227

Cell lengths 6.9581, 6.9581, 2.5698 Å; angles 90.00, 90.00, 146.35 degrees
Last column: nearest neighbours and their distance in Å.
Element x y z (fractional)
Be1 0.0000 0.0000 0.0000  8 Zn 2.39-2.58, 2 Be 2.57
Be2 0.3352 0.6648 0.0000  8 Zn 2.39-2.57, 2 Be 2.57
Be3 0.6648 0.3352 0.0000  8 Zn 2.39-2.57, 2 Be 2.57
Zn1 0.1677 0.8323 0.5000  8 Be 2.39-2.58, 2 Zn 2.57
Zn2 0.5000 0.5000 0.5000  8 Be 2.39-2.54, 2 Zn 2.57
Zn3 0.8323 0.1677 0.5000  8 Be 2.39-2.58, 2 Zn 2.57



# 12
This record from Alexandria describes an optimized crystal structure of NaHf3Ge. The functional is GGA-PBE.

Calculated values
SG: Pm-3m
Size of the total moment, μB/cell: 0.0
E above lowest polymorph, meV per atom: 930
Energy of formation, eV/atom: 1.531

Cell lengths 4.8951, 4.8951, 4.8951 Å; angles 90.00, 90.00, 90.00 degrees
Last column: nearest neighbours and their distance in Å.
Element x y z (fractional)
Na1 0.0000 0.0000 0.0000  6 Hf 2.45
Hf1 0.0000 0.0000 0.5000  2 Na 2.45
Hf2 0.0000 0.5000 0.0000  2 Na 2.45
Hf3 0.5000 0.0000 0.0000  2 Na 2.45
Ge1 0.5000 0.5000 0.5000  12 Hf 3.46